(1)
Compound: Ac3YGa2O9
Source: Alexandria via LeMat-Bulk
Functional: PBE
Structure: relaxed

a = 5.7560 Å, b = 5.7560 Å, c = 7.3222 Å
α = 90.00°, β = 90.00°, γ = 120.00°
Space group P-3m1 (No. 164)
Symmetry-distinct sites (fractional):
Ac 0.0000 0.0000 0.0000 (multiplicity 1)
Ac 0.3333 0.6667 0.7144 (multiplicity 2)
Y 0.0000 0.0000 0.5000 (multiplicity 1)
Ga 0.3333 0.6667 0.1718 (multiplicity 2)
O 0.0000 0.5000 0.0000 (multiplicity 3)
O 0.1694 0.3387 0.3087 (multiplicity 6)

=====

(2)
Compound: AcZnGa2O6
Source: Alexandria via LeMat-Bulk
Functional: PBE
Structure: relaxed

a = 11.4569 Å, b = 9.0540 Å, c = 6.4692 Å
α = 90.00°, β = 117.03°, γ = 90.00°
Space group C2/c (No. 15)
Symmetry-distinct sites (fractional):
Ac 0.0000 0.1730 0.2500 (multiplicity 4)
Zn 0.0000 0.2073 0.7500 (multiplicity 4)
Ga 0.2074 0.4410 0.1808 (multiplicity 8)
O 0.1103 0.0708 0.6677 (multiplicity 8)
O 0.1214 0.2658 0.0506 (multiplicity 8)
O 0.1617 0.4280 0.4313 (multiplicity 8)

=====

(3)
Compound: AcZnGaO4
Source: Alexandria via LeMat-Bulk
Functional: PBE
Structure: relaxed

a = 5.5634 Å, b = 5.7525 Å, c = 6.5487 Å
α = 90.00°, β = 104.25°, γ = 90.00°
Space group P2_1/m (No. 11)
Symmetry-distinct sites (fractional):
Ac 0.2463 0.2500 0.4559 (multiplicity 2)
Zn 0.3776 0.2500 0.0049 (multiplicity 2)
Ga 0.2118 0.7500 0.1608 (multiplicity 2)
O 0.0403 0.2500 0.0745 (multiplicity 2)
O 0.1202 0.7500 0.4151 (multiplicity 2)
O 0.4782 0.5232 0.2135 (multiplicity 4)

=====

(4)
Compound: Ac3Zn2GaO9
Source: Alexandria via LeMat-Bulk
Functional: PBE
Structure: relaxed

a = 5.6495 Å, b = 5.6495 Å, c = 6.9224 Å
α = 90.00°, β = 90.00°, γ = 120.00°
Space group P-3m1 (No. 164)
Symmetry-distinct sites (fractional):
Ac 0.0000 0.0000 0.0000 (multiplicity 1)
Ac 0.3333 0.6667 0.6678 (multiplicity 2)
Zn 0.3333 0.6667 0.1693 (multiplicity 2)
Ga 0.0000 0.0000 0.5000 (multiplicity 1)
O 0.0000 0.5000 0.0000 (multiplicity 3)
O 0.1644 0.3287 0.3358 (multiplicity 6)

=====

(5)
Compound: AcZrGaO5
Source: Alexandria via LeMat-Bulk
Functional: PBE
Structure: relaxed

a = 7.0523 Å, b = 9.6153 Å, c = 7.6386 Å
α = 90.00°, β = 112.24°, γ = 90.00°
Space group C2/c (No. 15)
Symmetry-distinct sites (fractional):
Ac 0.0000 0.1673 0.2500 (multiplicity 4)
Zr 0.0000 0.5000 0.0000 (multiplicity 4)
Ga 0.0000 0.1820 0.7500 (multiplicity 4)
O 0.0000 0.4212 0.2500 (multiplicity 4)
O 0.1052 0.2928 0.6065 (multiplicity 8)
O 0.1848 0.0573 0.9186 (multiplicity 8)

=====

(6)
Compound: AcZrGaO6
Source: Alexandria via LeMat-Bulk
Functional: PBE
Structure: relaxed

a = 5.6030 Å, b = 5.6030 Å, c = 4.6830 Å
α = 90.00°, β = 90.00°, γ = 120.00°
Space group P312 (No. 149)
Symmetry-distinct sites (fractional):
Ac 0.0000 0.0000 0.0000 (multiplicity 1)
Zr 0.6667 0.3333 0.5000 (multiplicity 1)
Ga 0.3333 0.6667 0.0000 (multiplicity 1)
O 0.0083 0.4000 0.2417 (multiplicity 6)

=====

Which formation energy without anion corrections belongs to each record? In order, -2830; -1926; -2154; -2306; -2936; -2193 meV/atom.
Which size of the total moment belongs to each record? In order, 0.0; 1.0; 0.0; 0.0; 0.0; 2.0 μB/f.u..